The following is a PBE calculation of a relaxed La2Nd5Y3 crystal, from the Alexandria database.

Computed properties:
**VASP energy**: -5.131 eV/atom
**Calculated volume**: 35.3 Å³ per atom
**Excess energy over the best structure of this formula in the dataset**: 0.000 eV per atom

```
data_La2Nd5Y3
_cell_length_a 11.168
_cell_length_b 15.327
_cell_length_c 9.930
_cell_angle_alpha 90.00
_cell_angle_beta 123.95
_cell_angle_gamma 90.00
_space_group_name_H-M_alt 'C 1 2/c 1'
_space_group_IT_number 15
_space_group_name_Hall '-C 2yc'
loop_
_atom_site_label
_atom_site_type_symbol
_atom_site_fract_x
_atom_site_fract_y
_atom_site_fract_z
_atom_site_occupancy
La1 La 0.151 0.125 0.057 1
Nd1 Nd 0.000 0.226 0.250 1
Nd2 Nd 0.000 0.265 0.750 1
Nd3 Nd 0.000 0.468 0.750 1
Nd4 Nd 0.237 0.380 0.235 1
Y1 Y 0.000 0.019 0.250 1
Y2 Y 0.155 0.377 0.548 1
```